First-principles (PBE) data for La3CdO after structural relaxation, as listed in Alexandria.

Cell: 4.822 4.822 8.708 Å, 90.00 90.00 90.00°
Last column: magnetic moment on the atom in μB.
Positions (direct):
Cd 0.000 0.000 0.164  0.02
O 0.500 0.500 0.425  0.01
La 0.000 0.000 0.791  0.53
La 0.500 0.000 0.442  0.20
La 0.000 0.500 0.442  0.22

Calculated values
M_tot = 0.494 μB/atom
SG = P4mm, No. 99
electronic total energy = -23.7 eV per cell

***

First-principles (PBE) data for NbPd3S4 after structural relaxation, as listed in Alexandria.

Cell: 6.372 6.765 7.201 Å, 90.00 90.00 90.00°
Positions (direct):
Nb 0.990 0.157 0.000
Nb 0.490 0.843 0.500
Pd 0.577 0.842 0.000
Pd 0.957 0.715 0.201
Pd 0.457 0.285 0.299
Pd 0.077 0.158 0.500
Pd 0.457 0.285 0.701
Pd 0.957 0.715 0.799
S 0.200 0.860 0.000
S 0.621 0.192 0.000
S 0.106 0.370 0.230
S 0.606 0.630 0.270
S 0.121 0.808 0.500
S 0.700 0.140 0.500
S 0.606 0.630 0.730
S 0.106 0.370 0.770

Calculated values
M_tot = 0.000 μB/atom
SG = Pmn2_1, No. 31
electronic total energy = -91.3 eV per cell

***

First-principles (PBE) data for RbHoO after structural relaxation, as listed in Alexandria.

Cell: 4.532 4.532 11.845 Å, 90.00 90.00 90.00°
Positions (direct):
O 0.500 0.000 0.979
O 0.000 0.500 0.021
Rb 0.500 0.000 0.676
Rb 0.000 0.500 0.324
Ho 0.500 0.500 0.000
Ho 0.000 0.000 0.000

Calculated values
M_tot = 0.000 μB/atom
SG = P4/nmm, No. 129
electronic total energy = -31.0 eV per cell

***

First-principles (PBE) data for ZnHCl3 after structural relaxation, as listed in Alexandria.

Cell: 4.876 4.876 4.876 Å, 90.00 90.00 90.00°
Last column: magnetic moment on the atom in μB.
Positions (direct):
H 0.500 0.500 0.500  0.34
Zn 0.000 0.000 0.000  0.00
Cl 0.000 0.500 0.000  0.05
Cl 0.000 0.000 0.500  0.03
Cl 0.500 0.000 0.000  0.07

Calculated values
M_tot = 0.204 μB/atom
SG = Pm-3m, No. 221
electronic total energy = -9.8 eV per cell

***

First-principles (PBE) data for Ta2Te2P after structural relaxation, as listed in Alexandria.

Cell: 4.573 4.573 6.701 Å, 70.05 70.05 90.00°
Positions (direct):
P 0.000 0.000 0.000
Te 0.750 0.250 0.500
Te 0.250 0.750 0.500
Ta 0.386 0.386 0.228
Ta 0.614 0.614 0.772

Calculated values
M_tot = 0.000 μB/atom
SG = I4/mmm, No. 139
electronic total energy = -31.5 eV per cell

***

First-principles (PBE) data for PmEuSiNi after structural relaxation, as listed in Alexandria.

Cell: 5.044 5.044 5.044 Å, 60.00 60.00 60.00°
Last column: magnetic moment on the atom in μB.
Positions (direct):
Eu 0.000 0.000 0.000  6.74
Ni 0.250 0.250 0.250  -0.28
Si 0.750 0.750 0.750  -0.06
Pm 0.500 0.500 0.500  0.01

Calculated values
M_tot = 1.650 μB/atom
SG = F-43m, No. 216
electronic total energy = -27.4 eV per cell

***

First-principles (PBE) data for NdTmSi3 after structural relaxation, as listed in Alexandria.

Cell: 3.951 4.223 12.471 Å, 99.75 90.00 90.00°
Positions (direct):
Nd 0.250 0.071 0.142
Nd 0.750 0.929 0.858
Tm 0.250 0.797 0.593
Tm 0.750 0.203 0.407
Si 0.250 0.378 0.757
Si 0.750 0.622 0.243
Si 0.250 0.474 0.949
Si 0.750 0.526 0.051
Si 0.750 0.320 0.640
Si 0.250 0.680 0.360

Calculated values
M_tot = 0.000 μB/atom
SG = Cmcm, No. 63
electronic total energy = -57.9 eV per cell

***

First-principles (PBE) data for Zr5HgAu4 after structural relaxation, as listed in Alexandria.

Cell: 3.142 3.142 20.504 Å, 90.00 90.00 90.00°
Last column: magnetic moment on the atom in μB.
Positions (direct):
Zr 0.500 0.500 0.106  0.06
Zr 0.500 0.500 0.303  -0.02
Zr 0.500 0.500 0.500  -0.01
Zr 0.500 0.500 0.697  -0.02
Zr 0.500 0.500 0.894  0.06
Hg 0.000 0.000 0.000  0.01
Au 0.000 0.000 0.204  0.00
Au 0.000 0.000 0.401  0.00
Au 0.000 0.000 0.599  0.00
Au 0.000 0.000 0.796  0.00

Calculated values
energy relative to the elements = -0.427 eV per atom
M_tot = 0.011 μB/atom
SG = P4/mmm, No. 123

***

First-principles (PBE) data for Cs8SbSe2 after structural relaxation, as listed in Alexandria.

Cell: 5.939 9.840 10.916 Å, 116.79 105.78 90.00°
Positions (direct):
Cs 0.658 0.869 0.316
Cs 0.342 0.553 0.684
Cs 0.147 0.147 0.294
Cs 0.000 0.306 0.000
Cs 0.853 0.853 0.706
Cs 0.658 0.447 0.316
Cs 0.342 0.131 0.684
Cs 0.000 0.694 0.000
Sb 0.500 0.000 0.000
Se 0.194 0.694 0.388
Se 0.806 0.306 0.612

Calculated values
M_tot = 0.067 μB/atom
SG = Immm, No. 71
electronic total energy = -24.8 eV per cell

***

First-principles (PBE) data for YSc2Rh after structural relaxation, as listed in Alexandria.

Cell: 5.936 5.936 5.936 Å, 139.59 139.59 58.48°
Last column: magnetic moment on the atom in μB.
Positions (direct):
Rh 0.750 0.250 0.500  0.04
Sc 0.000 0.000 0.000  0.34
Sc 0.500 0.500 0.000  0.34
Y 0.250 0.750 0.500  0.08

Calculated values
energy relative to the elements = -0.234 eV per atom
M_tot = 0.289 μB/atom
SG = I4/mmm, No. 139

***

First-principles (PBE) data for Ag2P3 after structural relaxation, as listed in Alexandria.

Cell: 9.224 9.224 9.224 Å, 20.80 20.80 20.80°
Positions (direct):
Ag 0.600 0.600 0.600
Ag 0.400 0.400 0.400
P 0.000 0.000 0.000
P 0.190 0.190 0.190
P 0.810 0.810 0.810

Calculated values
energy relative to the elements = 0.245 eV per atom
M_tot = 0.000 μB/atom
SG = R-3m, No. 166

***

First-principles (PBE) data for Ti2AuBr after structural relaxation, as listed in Alexandria.

Cell: 4.647 4.647 4.647 Å, 60.00 60.00 60.00°
Positions (direct):
Au 0.500 0.500 0.500
Br 0.000 0.000 0.000
Ti 0.250 0.250 0.250
Ti 0.750 0.750 0.750

Calculated values
M_tot = 0.000 μB/atom
SG = Fm-3m, No. 225
electronic total energy = -20.9 eV per cell

***

| no. | Fermi-level density of states (states/eV per atom) |
| --- | --- |
| 1 | 1.370 |
| 2 | 0.620 |
| 3 | 0.510 |
| 4 | 1.605 |
| 5 | 1.202 |
| 6 | 2.574 |
| 7 | 0.322 |
| 8 | 1.110 |
| 9 | 0.245 |
| 10 | 1.300 |
| 11 | 0.190 |
| 12 | 1.348 |